The following is a GGA-PBE calculation of a geometry-optimized EuHoAlPb structure, from the Alexandria database.

Lattice parameters (Å, degrees): 5.3739 5.3739 5.3739 60.00 60.00 60.00
With the nearest neighbours (Å) after each atom.
Atoms (fractional coordinates):
1 Al 0.0000 0.0000 0.0000  4 Ho 3.29, 4 Eu 3.29
2 Pb 0.5000 0.5000 0.5000  4 Ho 3.29, 4 Eu 3.29
3 Eu 0.7500 0.7500 0.7500  4 Pb 3.29, 4 Al 3.29
4 Ho 0.2500 0.2500 0.2500  4 Pb 3.29, 4 Al 3.29

Calculated values
**DFT formation energy**: -31.0 kJ per mole of atoms

The following is a GGA-PBE calculation of a geometry-optimized AgBSeN2 structure, from the Alexandria database.

Lattice parameters (Å, degrees): 3.9759 3.9759 5.8792 90.00 90.00 90.00
With the nearest neighbours (Å) after each atom.
Atoms (fractional coordinates):
1 Ag 0.0000 0.0000 0.0000  4 N 1.99
2 N 0.5000 0.0000 0.0000  2 Ag 1.99
3 N 0.0000 0.5000 0.0000  2 Ag 1.99
4 B 0.5000 0.5000 0.5000  4 Se 2.81
5 Se 0.0000 0.0000 0.5000  4 B 2.81, 2 Ag 2.94

Calculated values
**Formation energy without anion corrections**: 2528 meV/atom
**Relative energy among the computed polymorphs**: 1192 meV/atom

The following is a GGA-PBE calculation of a geometry-optimized ZrTa2Ir structure, from the Alexandria database.

Lattice parameters (Å, degrees): 3.3402 4.5753 4.6896 90.00 90.00 90.00
With the nearest neighbours (Å) after each atom.
Atoms (fractional coordinates):
1 Ta 0.0000 0.0000 0.0000  4 Ta 2.83, 4 Zr 2.88
2 Ta 0.5000 0.5000 0.0000  4 Ta 2.83, 4 Ir 2.88
3 Ir 0.0000 0.5000 0.5000  4 Zr 2.83, 4 Ta 2.88
4 Zr 0.5000 0.0000 0.5000  4 Ir 2.83, 4 Ta 2.88

Calculated values
**DFT formation energy**: -32.4 kJ per mole of atoms

The following is a GGA-PBE calculation of a geometry-optimized Ac3AgN2 structure, from the Alexandria database.

Lattice parameters (Å, degrees): 4.2127 7.1952 12.8801 110.29 99.41 90.00
With the nearest neighbours (Å) after each atom.
Atoms (fractional coordinates):
1 Ac 0.0434 0.8387 0.0867  2 N 2.42-2.49
2 Ac 0.6023 0.3675 0.2045  3 N 2.44-2.52
3 Ac 0.2287 0.2652 0.4574  3 N 2.46-2.51
4 Ac 0.3977 0.6325 0.7955  3 N 2.44-2.52
5 Ac 0.7713 0.7348 0.5426  3 N 2.46-2.51
6 Ac 0.9566 0.1613 0.9133  2 N 2.42-2.49
7 N 0.2992 0.6027 0.5985  4 Ac 2.44-2.51
8 N 0.0570 0.1893 0.1140  4 Ac 2.42-2.52
9 N 0.7008 0.3973 0.4015  4 Ac 2.44-2.51
10 N 0.9430 0.8107 0.8860  4 Ac 2.42-2.52
11 Ag 0.6500 0.8673 0.3000  6 Ac 3.37-3.55, 1 N 3.57
12 Ag 0.3500 0.1327 0.7000  6 Ac 3.37-3.55, 1 N 3.57

Calculated values
**Formation energy without anion corrections**: -789 meV/atom
**Relative energy among the computed polymorphs**: 0 meV/atom